No. 1
Computed, not measured: a relaxed structure of AlGa4Ag2 at the PBE level of DFT.

a = 5.880 Å, b = 5.883 Å, c = 8.778 Å
α = 101.39°, β = 101.03°, γ = 114.03°
Fractional coordinates of all 14 atoms:
1 Al 0.000 0.000 0.000
2 Al 0.422 0.541 0.964
3 Ga 0.018 0.119 0.711
4 Ga 0.042 0.648 0.769
5 Ga 0.080 0.365 0.280
6 Ga 0.300 0.815 0.193
7 Ga 0.507 0.342 0.685
8 Ga 0.516 0.303 0.188
9 Ga 0.538 0.872 0.777
10 Ga 0.830 0.848 0.252
11 Ag 0.191 0.828 0.497
12 Ag 0.605 0.664 0.483
13 Ag 0.749 0.231 0.466
14 Ag 0.820 0.379 0.982

SG = No. 1
Crystal system = triclinic
Formation energy = 0.030 eV/atom



No. 2
Computed, not measured: a relaxed structure of Na2LiGe3Au12 at the PBE level of DFT.

a = 7.113 Å, b = 7.113 Å, c = 7.113 Å
α = 83.96°, β = 83.96°, γ = 83.96°
Fractional coordinates of all 18 atoms:
1 Na 0.122 0.122 0.122
2 Na 0.878 0.878 0.878
3 Li 0.500 0.500 0.500
4 Ge 0.000 0.500 0.500
5 Ge 0.500 0.000 0.500
6 Ge 0.500 0.500 0.000
7 Au 0.119 0.119 0.567
8 Au 0.119 0.567 0.119
9 Au 0.202 0.692 0.692
10 Au 0.308 0.308 0.798
11 Au 0.308 0.798 0.308
12 Au 0.433 0.881 0.881
13 Au 0.567 0.119 0.119
14 Au 0.692 0.202 0.692
15 Au 0.692 0.692 0.202
16 Au 0.798 0.308 0.308
17 Au 0.881 0.433 0.881
18 Au 0.881 0.881 0.433

SG = No. 166
Crystal system = trigonal
Formation energy = -0.087 eV/atom



No. 3
Computed, not measured: a relaxed structure of LiB2C2 at the PBE level of DFT.

a = 7.377 Å, b = 5.385 Å, c = 4.697 Å
α = 90.00°, β = 90.00°, γ = 90.00°
Fractional coordinates of all 20 atoms:
1 Li 0.000 0.151 0.250
2 Li 0.000 0.849 0.750
3 Li 0.500 0.349 0.750
4 Li 0.500 0.651 0.250
5 B 0.248 0.124 0.582
6 B 0.248 0.876 0.082
7 B 0.252 0.376 0.082
8 B 0.252 0.624 0.582
9 B 0.748 0.376 0.418
10 B 0.748 0.624 0.918
11 B 0.752 0.124 0.918
12 B 0.752 0.876 0.418
13 C 0.244 0.125 0.916
14 C 0.244 0.875 0.416
15 C 0.256 0.375 0.416
16 C 0.256 0.625 0.916
17 C 0.744 0.375 0.084
18 C 0.744 0.625 0.584
19 C 0.756 0.125 0.584
20 C 0.756 0.875 0.084

SG = No. 60
Crystal system = orthorhombic
Formation energy = -0.030 eV/atom



No. 4
Computed, not measured: a relaxed structure of Mg2OsRu2 at the PBE level of DFT.

a = 6.331 Å, b = 6.331 Å, c = 4.337 Å
α = 90.00°, β = 90.00°, γ = 90.00°
Fractional coordinates of all 10 atoms:
1 Mg 0.176 0.324 0.000
2 Mg 0.324 0.824 0.000
3 Mg 0.676 0.176 0.000
4 Mg 0.824 0.676 0.000
5 Os 0.000 0.000 0.500
6 Os 0.500 0.500 0.500
7 Ru 0.133 0.633 0.500
8 Ru 0.367 0.133 0.500
9 Ru 0.633 0.867 0.500
10 Ru 0.867 0.367 0.500

SG = No. 127
Crystal system = tetragonal
Formation energy = 0.251 eV/atom



No. 5
Computed, not measured: a relaxed structure of Na2LaNi at the PBE level of DFT.

a = 5.198 Å, b = 5.198 Å, c = 5.198 Å
α = 60.00°, β = 60.00°, γ = 60.00°
Fractional coordinates of all 4 atoms:
1 Na 0.250 0.250 0.250
2 Na 0.750 0.750 0.750
3 La 0.000 0.000 0.000
4 Ni 0.500 0.500 0.500

SG = No. 225
Crystal system = cubic
Formation energy = 0.556 eV/atom



No. 6
Computed, not measured: a relaxed structure of Ta3Nb3Mo2 at the PBE level of DFT.

a = 7.317 Å, b = 7.317 Å, c = 3.191 Å
α = 90.00°, β = 90.00°, γ = 120.00°
Fractional coordinates of all 8 atoms:
1 Ta 0.000 0.443 0.000
2 Ta 0.443 0.000 0.000
3 Ta 0.557 0.557 0.000
4 Nb 0.000 0.783 0.500
5 Nb 0.217 0.217 0.500
6 Nb 0.783 0.000 0.500
7 Mo 0.333 0.667 0.500
8 Mo 0.667 0.333 0.500

SG = No. 189
Crystal system = hexagonal
Formation energy = 0.351 eV/atom



No. 7
Computed, not measured: a relaxed structure of TmPuPa2P4 at the PBE level of DFT.

a = 6.853 Å, b = 3.974 Å, c = 6.882 Å
α = 90.00°, β = 109.58°, γ = 90.00°
Fractional coordinates of all 8 atoms:
1 Tm 0.000 0.000 0.000
2 Pu 0.000 0.500 0.500
3 Pa 0.500 0.000 0.500
4 Pa 0.500 0.500 0.000
5 P 0.251 0.000 0.752
6 P 0.251 0.500 0.249
7 P 0.749 0.000 0.248
8 P 0.749 0.500 0.751

SG = No. 10
Crystal system = monoclinic
Formation energy = -1.357 eV/atom



No. 8
Computed, not measured: a relaxed structure of SiOsI2N at the PBE level of DFT.

a = 5.542 Å, b = 5.542 Å, c = 3.742 Å
α = 90.00°, β = 90.00°, γ = 90.00°
Fractional coordinates of all 5 atoms:
1 Si 0.000 0.000 0.000
2 Os 0.500 0.500 0.500
3 I 0.000 0.500 0.500
4 I 0.500 0.000 0.500
5 N 0.500 0.500 0.000

SG = No. 123
Crystal system = tetragonal
Formation energy without anion corrections = 74 kJ/mol of atoms



Per-record total energy, eV/atom: -3.05; -3.29; -6.77; -6.34; -2.78; -10.58; -8.79; -4.85
Per-record spin magnetization, μB/cell: 0.00; 0.00; 0.00; 0.00; 0.00; 0.00; 5.55; 0.00